MgSi2AsRu | PBE | optimized geometry

Values from the calculation:
As for the final energy: -5.01 eV per atom. The density of states at the Fermi level is 3.5 states/eV/cell. The value obtained for the uncorrected formation energy is 0.261 eV per atom. The theoretical density is 4.10 g/cm³.

a b c (Å): 4.5158 5.0988 4.5158
angles (deg): 90.00 90.00 90.00
Sites, in units of the cell vectors:
Si (0.0000, 0.0000, 0.5000)
Mg (0.0000, 0.5000, 0.0000)
Ru (0.0000, 0.0000, 0.0000)
As (0.5000, 0.5000, 0.5000)
Si (0.5000, 0.0000, 0.0000)